[1]
This record from the Alexandria database describes a geometry-optimized Li2Er2ThPb2 structure. The functional is PBE.

Summary:
Calculated density ... 9.04 g/cm³

Cell lengths 9.2832, 9.2832, 9.2832 Å; angles 30.50, 30.50, 30.50 degrees
Last column: nearest neighbours and their distance in Å.
Fractional coordinates of all 7 atoms:
Li 0.0871 0.0871 0.0871  3 Pb 2.83, 3 Er 3.12
Li 0.9129 0.9129 0.9129  3 Pb 2.83, 3 Er 3.12
Er 0.3700 0.3700 0.3700  3 Li 3.12, 4 Pb 3.21-3.49, 3 Er 3.43, 1 Th 3.45
Er 0.6300 0.6300 0.6300  3 Li 3.12, 4 Pb 3.21-3.49, 3 Er 3.43, 1 Th 3.45
Th 0.5000 0.5000 0.5000  6 Pb 3.40, 2 Er 3.45, 6 Li 3.52
Pb 0.2385 0.2385 0.2385  3 Li 2.83
Pb 0.7615 0.7615 0.7615  3 Li 2.83

***

[2]
This record from the Alexandria database describes a geometry-optimized LiErTlPb structure. The functional is PBE.

Summary:
Calculated density ... 9.71 g/cm³
Polymorph energy (0 for the lowest one) ... 0 meV per atom

Cell lengths 4.1999, 4.7942, 4.9766 Å; angles 90.00, 90.00, 90.00 degrees
Last column: nearest neighbours and their distance in Å.
Fractional coordinates of all 4 atoms:
Li 0.0000 0.0000 0.0000  4 Tl 3.19, 4 Pb 3.26, 4 Er 3.46
Er 0.0000 0.5000 0.5000  4 Pb 3.19, 4 Tl 3.26, 4 Li 3.46
Tl 0.5000 0.5000 0.0000  4 Li 3.19, 4 Er 3.26, 4 Pb 3.46
Pb 0.5000 0.0000 0.5000  4 Er 3.19, 4 Li 3.26, 4 Tl 3.46

***

no.,total DFT energy (no corrections) (eV/atom),M_tot (μB/f.u.),formation enthalpy at 0 K (kJ/mol of formula units)
1,-4.189,0.00,-148
2,-3.468,0.00,-127